[1]
## YCuPO2 (PBE-GGA)

Data for YCuPO2 after structural relaxation.

Its energy above the most stable polymorph in this dataset is 372.9 meV/atom. Its formation energy from raw total energies is -10.44 kcal/mol of atoms.

The structure belongs to space group P4/mmm (No. 123); the cell edges are 4.1873, 4.1873 and 6.0574 Å and the angles 90.00°, 90.00° and 90.00°. The asymmetric unit holds Y at (0.0000, 0.0000, 0.0000), Cu at (0.5000, 0.5000, 0.5000), P at (0.0000, 0.0000, 0.5000) and O at (0.0000, 0.5000, 0.0000).



[2]
## YCu2PO (PBE-GGA)

Data for YCu2PO after structural relaxation.

Its formation energy from raw total energies is -11.28 kcal/mol of atoms.

The structure belongs to space group P4/mmm (No. 123); the cell edges are 3.7952, 3.7952 and 6.4476 Å and the angles 90.00°, 90.00° and 90.00°. The asymmetric unit holds Y at (0.0000, 0.0000, 0.0000), Cu at (0.0000, 0.5000, 0.5000), P at (0.5000, 0.5000, 0.0000) and O at (0.5000, 0.5000, 0.5000).



- formation energy from raw total energies of number 1 (YCuPO2)?
  -10.44 kcal/mol of atoms



- The highest formation energy from raw total energies belongs to which entry?
  YCuPO2



- Which of these has the highest formation energy from raw total energies?
  YCuPO2